Record 1
## Li3UTa2N6 (PBE-GGA)

Data for a geometry-optimized Li3UTa2N6 structure.

a = 5.5664 Å, b = 9.6614 Å, c = 5.4133 Å
α = 90.00°, β = 109.49°, γ = 90.00°
With the nearest neighbours (Å) after each atom.
Space group C2/m (No. 12)
Unique sites:
Li 0.0000 0.0000 0.0000 [2 per cell]  6 N 2.31-2.39
Li 0.0000 0.3216 0.0000 [4 per cell]  6 N 2.25-2.47
U 0.0000 0.5000 0.5000 [2 per cell]  6 N 2.19-2.20
Ta 0.0000 0.1663 0.5000 [4 per cell]  6 N 2.13-2.14
N 0.2277 0.0000 0.7130 [4 per cell]  2 Ta 2.13, 1 U 2.19, 1 Li 2.31
N 0.2412 0.3289 0.7155 [8 per cell]  2 Ta 2.14, 1 U 2.20, 3 Li 2.25-2.39

Results
For the formation energy (no corrections), the calculation gives -12.67 eV per formula unit. Its total energy is -8.6130 eV per atom. The crystal system is monoclinic.



Record 2
## Ca2TmCu2Se4 (PBE-GGA)

Data for a geometry-optimized Ca2TmCu2Se4 structure.

a = 14.8828 Å, b = 3.8995 Å, c = 7.4392 Å
α = 90.00°, β = 114.03°, γ = 90.00°
With the nearest neighbours (Å) after each atom.
Space group C2/m (No. 12)
Unique sites:
Ca 0.1349 0.0000 0.0860 [4 per cell]  7 Se 2.96-3.27, 1 Cu 3.04
Tm 0.0000 0.0000 0.5000 [2 per cell]  6 Se 2.82-2.85
Cu 0.1913 0.5000 0.5161 [4 per cell]  3 Se 2.49-2.54, 2 Cu 2.69
Se 0.0236 0.5000 0.2436 [4 per cell]  1 Cu 2.49
Se 0.2028 0.0000 0.7436 [4 per cell]  2 Cu 2.54, 1 Tm 2.82

Results
For the formation energy (no corrections), the calculation gives -10.94 eV per formula unit. Its total energy is -4.6160 eV per atom. The crystal system is monoclinic.



Record 3
## LiAl3Au9 (PBE-GGA)

Data for a geometry-optimized LiAl3Au9 structure.

a = 5.6461 Å, b = 13.1696 Å, c = 6.9742 Å
α = 90.00°, β = 112.72°, γ = 90.00°
With the nearest neighbours (Å) after each atom.
Space group C2/m (No. 12)
Unique sites:
Li 0.0000 0.0000 0.0000 [2 per cell]  4 Au 2.83
Al 0.0000 0.5000 0.5000 [2 per cell]  10 Au 2.67-2.87
Al 0.2500 0.2500 0.0000 [4 per cell]  8 Au 2.65-2.71, 2 Al 2.82
Au 0.0000 0.0000 0.5000 [2 per cell]  8 Au 2.80-2.82, 2 Al 2.82
Au 0.0962 0.3846 0.2233 [8 per cell]  3 Al 2.65-2.71, 3 Au 2.80-2.88
Au 0.1431 0.1588 0.2964 [8 per cell]  3 Al 2.65-2.87, 2 Au 2.82-2.85, 1 Li 2.83

Results
The formation energy comes out at -292 meV per atom. Its total energy is -3.5718 eV per atom. The crystal system is monoclinic.



Record 4
## YUGe (PBE-GGA)

Data for a geometry-optimized YUGe structure.

a = 3.2381 Å, b = 5.0843 Å, c = 17.3996 Å
α = 90.00°, β = 90.00°, γ = 90.00°
With the nearest neighbours (Å) after each atom.
Space group Immm (No. 71)
Unique sites:
Y 0.0000 0.0000 0.1745 [4 per cell]  5 Ge 2.98-3.03, 2 Y 3.24
U 0.0000 0.2497 0.5000 [4 per cell]  2 U 2.54-2.55
Ge 0.0000 0.0000 0.3457 [4 per cell]  2 U 2.97, 5 Y 2.98-3.03, 2 Ge 3.24

Results
The formation energy comes out at -137 meV per atom. Its total energy is -7.5940 eV per atom. The crystal system is orthorhombic.



Record 5
## PmNd8Dy2 (PBE-GGA)

Data for a geometry-optimized PmNd8Dy2 structure.

a = 17.0019 Å, b = 6.8198 Å, c = 6.7479 Å
α = 90.00°, β = 99.94°, γ = 90.00°
With the nearest neighbours (Å) after each atom.
Space group C2/m (No. 12)
Unique sites:
Pm 0.0000 0.0000 0.0000 [2 per cell]  4 Nd 3.41
Nd 0.0881 0.2619 0.4087 [8 per cell]  5 Nd 3.25-3.57, 1 Pm 3.41, 1 Dy 3.50
Nd 0.0934 0.5000 0.9135 [4 per cell]  6 Nd 3.39-3.76, 1 Dy 3.69
Nd 0.2445 0.0000 0.3179 [4 per cell]  5 Nd 3.35-3.51, 4 Dy 3.40-3.68
Dy 0.1999 0.0000 0.8072 [4 per cell]  7 Nd 3.40-3.69

Results
The formation energy comes out at 163 meV per atom. Its total energy is -4.5735 eV per atom. The crystal system is monoclinic.



Record 6
## CaTb3Mg4 (PBE-GGA)

Data for a geometry-optimized CaTb3Mg4 structure.

a = 5.4378 Å, b = 5.4378 Å, c = 7.6585 Å
α = 90.00°, β = 90.00°, γ = 90.00°
With the nearest neighbours (Å) after each atom.
Space group P4/mmm (No. 123)
Unique sites:
Ca 0.0000 0.0000 0.0000 [1 per cell]  8 Mg 3.35
Tb 0.0000 0.0000 0.5000 [1 per cell]  8 Mg 3.30
Tb 0.5000 0.5000 0.0000 [1 per cell]  8 Mg 3.35
Tb 0.5000 0.5000 0.5000 [1 per cell]  8 Mg 3.30
Mg 0.0000 0.5000 0.2551 [4 per cell]  6 Tb 3.30-3.35, 2 Ca 3.35

Results
The formation energy comes out at -70 meV per atom. Its total energy is -2.8543 eV per atom. The crystal system is tetragonal.



Record 7
## Cs3PmEr2Te6 (PBE-GGA)

Data for a geometry-optimized Cs3PmEr2Te6 structure.

a = 7.9112 Å, b = 13.7041 Å, c = 9.3041 Å
α = 90.00°, β = 106.46°, γ = 90.00°
With the nearest neighbours (Å) after each atom.
Space group C2/m (No. 12)
Unique sites:
Cs 0.0000 0.0000 0.0000 [2 per cell]  6 Te 3.78-3.84
Cs 0.0000 0.3354 0.0000 [4 per cell]  6 Te 3.80-3.84
Pm 0.0000 0.5000 0.5000 [2 per cell]  6 Te 3.18-3.19
Er 0.0000 0.1669 0.5000 [4 per cell]  6 Te 3.11
Te 0.2221 0.0000 0.6894 [4 per cell]  2 Er 3.11, 1 Pm 3.18
Te 0.2339 0.3295 0.6902 [8 per cell]  2 Er 3.11, 1 Pm 3.19

Results
For the formation energy (no corrections), the calculation gives -16.59 eV per formula unit. Its total energy is -4.3227 eV per atom. The crystal system is monoclinic.



Record 8
## SrAl3Cr (PBE-GGA)

Data for a geometry-optimized SrAl3Cr structure.

a = 4.7829 Å, b = 4.7829 Å, c = 4.7829 Å
α = 90.00°, β = 90.00°, γ = 90.00°
With the nearest neighbours (Å) after each atom.
Space group Pm-3m (No. 221)
Unique sites:
Sr 0.0000 0.0000 0.0000 [1 per cell]  12 Al 3.38
Al 0.0000 0.5000 0.5000 [3 per cell]  2 Cr 2.39
Cr 0.5000 0.5000 0.5000 [1 per cell]  6 Al 2.39

Results
The formation energy comes out at -17 meV per atom. Its total energy is -4.5240 eV per atom. The crystal system is cubic.